# 1
DFT (PBE-GGA) results for La7NdTm4 after structural relaxation.

The value obtained for the total magnetic moment is 0.00 μB/cell. Its density of states at the Fermi level is 23.49 states/eV/cell. The value obtained for the formation energy is 0.134 eV per atom. The value obtained for the total energy is -4.628 eV per atom.

It has space group P-1 (No. 2), with a = 6.258 Å, b = 7.066 Å, c = 10.047 Å, α = 109.35°, β = 90.36° and γ = 90.47°. The distinct sites, in fractional coordinates, are La at (0.000, 0.000, 0.000), La at (0.226, 0.800, 0.627), La at (0.248, 0.469, 0.931), La at (0.299, 0.279, 0.581), Nd at (0.500, 0.000, 0.000), Tm at (0.231, 0.874, 0.276) and Tm at (0.249, 0.402, 0.273).

# 2
DFT (PBE-GGA) results for YHoSnPt after structural relaxation.

The value obtained for the total magnetic moment is 0.00 μB/cell. Its density of states at the Fermi level is 4.32 states/eV/cell. The value obtained for the formation energy is -0.865 eV per atom. The value obtained for the total energy is -6.136 eV per atom.

It has space group F-43m (No. 216), with a = 7.269 Å, b = 7.269 Å, c = 7.269 Å, α = 90.00°, β = 90.00° and γ = 90.00°. The distinct sites, in fractional coordinates, are Y at (0.000, 0.000, 0.000), Ho at (0.000, 0.000, 0.500), Sn at (0.250, 0.250, 0.750) and Pt at (0.250, 0.250, 0.250).